(1)
Compound: Tb2CeCo9
Source: the Alexandria database
Functional: GGA-PBE
Structure: optimized geometry

M_tot	9.248	μB per formula unit
energy of formation from the pure elements	-0.1586	eV/atom

Lattice parameters (Å, degrees): 8.674 8.674 8.674 33.24 33.24 33.24
Element x y z (fractional)
1 Tb 0.140 0.140 0.140
2 Tb 0.860 0.860 0.860
3 Ce 0.000 0.000 0.000
4 Co 0.079 0.583 0.583
5 Co 0.334 0.334 0.334
6 Co 0.417 0.417 0.921
7 Co 0.417 0.921 0.417
8 Co 0.500 0.500 0.500
9 Co 0.583 0.079 0.583
10 Co 0.583 0.583 0.079
11 Co 0.666 0.666 0.666
12 Co 0.921 0.417 0.417

=====

(2)
Compound: Tb3CeCo4
Source: the Alexandria database
Functional: GGA-PBE
Structure: optimized geometry

M_tot	0.000	μB per formula unit
energy of formation from the pure elements	-0.0768	eV/atom

Lattice parameters (Å, degrees): 8.156 8.156 8.156 150.09 142.08 49.03
Element x y z (fractional)
1 Tb 0.000 0.000 0.000
2 Tb 0.297 0.797 0.500
3 Tb 0.703 0.203 0.500
4 Ce 0.500 0.500 0.000
5 Co 0.101 0.379 0.722
6 Co 0.342 0.621 0.722
7 Co 0.658 0.379 0.278
8 Co 0.899 0.621 0.278

=====

(3)
Compound: TbCe2Co2
Source: the Alexandria database
Functional: GGA-PBE
Structure: optimized geometry

M_tot	0.000	μB per formula unit
energy of formation from the pure elements	-0.0514	eV/atom

Lattice parameters (Å, degrees): 5.003 5.003 5.326 118.36 118.36 80.80
Element x y z (fractional)
1 Tb 0.000 0.000 0.000
2 Ce 0.272 0.728 0.500
3 Ce 0.728 0.272 0.500
4 Co 0.307 0.307 0.798
5 Co 0.693 0.693 0.202